VASP calculation (PBE-GGA) on a relaxed PrTm2Th crystal.

Values from the calculation:
Total magnetic moment in μB/f.u.: 0.0
DFT total energy in eV/cell: -21.02
DOS(E_F) in states/eV/f.u.: 4.7
Energy above the most stable polymorph in this dataset in meV per atom: 19.3
Space group: Cmmm
Formation energy from the elements in eV per atom: 0.029

Cell: 6.120 6.120 3.589 Å, 90.00 90.00 107.88°
Fractional coordinates of all 4 atoms:
Pr (0.000, 0.000, 0.000)
Tm (0.000, 0.500, 0.500)
Tm (0.500, 0.000, 0.500)
Th (0.500, 0.500, 0.000)


VASP calculation (PBE-GGA) on a relaxed K12Cd5Hg3 crystal.

Values from the calculation:
Total magnetic moment in μB/f.u.: 0.0
DFT total energy in eV/cell: -68.35
DOS(E_F) in states/eV/f.u.: 17.9
Space group: Ia-3d
Formation energy from the elements in eV per atom: 0.078

Cell: 18.005 18.005 18.005 Å, 109.47 109.47 109.47°
Fractional coordinates of all 80 atoms:
K (0.057, 0.228, 0.129)
K (0.057, 0.329, 0.928)
K (0.072, 0.629, 0.401)
K (0.072, 0.943, 0.671)
K (0.099, 0.728, 0.671)
K (0.099, 0.871, 0.428)
K (0.129, 0.057, 0.228)
K (0.129, 0.572, 0.901)
K (0.171, 0.228, 0.599)
K (0.171, 0.443, 0.572)
K (0.228, 0.129, 0.057)
K (0.228, 0.599, 0.171)
K (0.272, 0.329, 0.901)
K (0.272, 0.443, 0.371)
K (0.329, 0.901, 0.272)
K (0.329, 0.928, 0.057)
K (0.371, 0.272, 0.443)
K (0.371, 0.599, 0.928)
K (0.401, 0.072, 0.629)
K (0.401, 0.829, 0.772)
K (0.428, 0.099, 0.871)
K (0.428, 0.829, 0.557)
K (0.443, 0.371, 0.272)
K (0.443, 0.572, 0.171)
K (0.557, 0.428, 0.829)
K (0.557, 0.629, 0.728)
K (0.572, 0.171, 0.443)
K (0.572, 0.901, 0.129)
K (0.599, 0.171, 0.228)
K (0.599, 0.928, 0.371)
K (0.629, 0.401, 0.072)
K (0.629, 0.728, 0.557)
K (0.671, 0.072, 0.943)
K (0.671, 0.099, 0.728)
K (0.728, 0.557, 0.629)
K (0.728, 0.671, 0.099)
K (0.772, 0.401, 0.829)
K (0.772, 0.871, 0.943)
K (0.829, 0.557, 0.428)
K (0.829, 0.772, 0.401)
K (0.871, 0.428, 0.099)
K (0.871, 0.943, 0.772)
K (0.901, 0.129, 0.572)
K (0.901, 0.272, 0.329)
K (0.928, 0.057, 0.329)
K (0.928, 0.371, 0.599)
K (0.943, 0.671, 0.072)
K (0.943, 0.772, 0.871)
Cd (0.000, 0.000, 0.000)
Cd (0.000, 0.000, 0.500)
Cd (0.000, 0.500, 0.000)
Cd (0.000, 0.500, 0.500)
Cd (0.125, 0.750, 0.875)
Cd (0.125, 0.875, 0.250)
Cd (0.250, 0.125, 0.875)
Cd (0.250, 0.625, 0.375)
Cd (0.375, 0.250, 0.625)
Cd (0.375, 0.625, 0.750)
Cd (0.500, 0.000, 0.000)
Cd (0.500, 0.000, 0.500)
Cd (0.500, 0.500, 0.000)
Cd (0.500, 0.500, 0.500)
Cd (0.625, 0.375, 0.250)
Cd (0.625, 0.750, 0.375)
Cd (0.750, 0.375, 0.625)
Cd (0.750, 0.875, 0.125)
Cd (0.875, 0.125, 0.750)
Cd (0.875, 0.250, 0.125)
Hg (0.125, 0.250, 0.375)
Hg (0.125, 0.375, 0.750)
Hg (0.250, 0.375, 0.125)
Hg (0.250, 0.875, 0.625)
Hg (0.375, 0.125, 0.250)
Hg (0.375, 0.750, 0.125)
Hg (0.625, 0.250, 0.875)
Hg (0.625, 0.875, 0.750)
Hg (0.750, 0.125, 0.375)
Hg (0.750, 0.625, 0.875)
Hg (0.875, 0.625, 0.250)
Hg (0.875, 0.750, 0.625)


VASP calculation (PBE-GGA) on a relaxed Tb3Dy4In4 crystal.

Values from the calculation:
Total magnetic moment in μB/f.u.: 0.0
DFT total energy in eV/cell: -46.09
DOS(E_F) in states/eV/f.u.: 10.8
Space group: Immm
Formation energy from the elements in eV per atom: -0.258

Cell: 9.858 9.858 9.858 Å, 148.90 139.20 52.18°
Fractional coordinates of all 11 atoms:
Tb (0.000, 0.000, 0.000)
Tb (0.401, 0.901, 0.500)
Tb (0.599, 0.099, 0.500)
Dy (0.059, 0.320, 0.739)
Dy (0.419, 0.680, 0.739)
Dy (0.581, 0.320, 0.261)
Dy (0.941, 0.680, 0.261)
In (0.172, 0.172, 0.000)
In (0.281, 0.500, 0.781)
In (0.719, 0.500, 0.219)
In (0.828, 0.828, 0.000)


VASP calculation (PBE-GGA) on a relaxed Ba2CdOsO6 crystal.

Values from the calculation:
Total magnetic moment in μB/f.u.: 2.0
DFT total energy in eV/cell: -63.82
DOS(E_F) in states/eV/f.u.: 6.0
E_form (uncorrected) in eV/f.u.: -18.08
Space group: Fm-3m

Cell: 5.971 5.971 5.971 Å, 60.00 60.00 60.00°
Fractional coordinates of all 10 atoms:
Ba (0.250, 0.250, 0.250)
Ba (0.750, 0.750, 0.750)
Cd (0.000, 0.000, 0.000)
Os (0.500, 0.500, 0.500)
O (0.270, 0.270, 0.730)
O (0.270, 0.730, 0.270)
O (0.270, 0.730, 0.730)
O (0.730, 0.270, 0.270)
O (0.730, 0.270, 0.730)
O (0.730, 0.730, 0.270)


VASP calculation (PBE-GGA) on a relaxed TlHCl2 crystal.

Values from the calculation:
Total magnetic moment in μB/f.u.: 0.0
DFT total energy in eV/cell: -21.49
DOS(E_F) in states/eV/f.u.: 0.0
Energy above the most stable polymorph in this dataset in meV per atom: 439.6
Space group: I-42d

Cell: 6.168 6.168 6.168 Å, 116.89 116.89 95.48°
Fractional coordinates of all 8 atoms:
Tl (0.000, 0.000, 0.000)
Tl (0.750, 0.250, 0.500)
H (0.250, 0.750, 0.500)
H (0.500, 0.500, 0.000)
Cl (0.274, 0.625, 0.149)
Cl (0.375, 0.524, 0.649)
Cl (0.476, 0.125, 0.851)
Cl (0.875, 0.726, 0.351)


VASP calculation (PBE-GGA) on a relaxed LaDyPd2 crystal.

Values from the calculation:
Total magnetic moment in μB/f.u.: 0.0
DFT total energy in eV/cell: -23.37
DOS(E_F) in states/eV/f.u.: 2.4
Energy above the most stable polymorph in this dataset in meV per atom: 0.0
Space group: Amm2
Formation energy from the elements in eV per atom: -0.865

Cell: 4.633 5.733 5.733 Å, 39.30 90.00 90.00°
Fractional coordinates of all 4 atoms:
La (0.000, 0.000, 0.000)
Dy (0.500, 0.728, 0.728)
Pd (0.000, 0.273, 0.273)
Pd (0.500, 0.447, 0.447)


VASP calculation (PBE-GGA) on a relaxed LaAlCuAu2 crystal.

Values from the calculation:
Total magnetic moment in μB/f.u.: 0.0
DFT total energy in eV/cell: -15.76
DOS(E_F) in states/eV/f.u.: 2.1
Space group: P4/mmm
Formation energy from the elements in eV per atom: 0.712

Cell: 5.639 5.639 5.372 Å, 90.00 90.00 90.00°
Fractional coordinates of all 5 atoms:
La (0.000, 0.000, 0.000)
Al (0.500, 0.500, 0.500)
Cu (0.000, 0.000, 0.500)
Au (0.000, 0.500, 0.000)
Au (0.500, 0.000, 0.000)


VASP calculation (PBE-GGA) on a relaxed NdPaI2 crystal.

Values from the calculation:
Total magnetic moment in μB/f.u.: 2.5
DFT total energy in eV/cell: -18.72
DOS(E_F) in states/eV/f.u.: 6.1
E_form (uncorrected) in eV/f.u.: -1.35
Space group: R-3m

Cell: 11.250 11.250 11.250 Å, 19.25 19.25 19.25°
Fractional coordinates of all 4 atoms:
Nd (0.000, 0.000, 0.000)
Pa (0.500, 0.500, 0.500)
I (0.405, 0.405, 0.405)
I (0.595, 0.595, 0.595)


VASP calculation (PBE-GGA) on a relaxed CaEr4Zr4O14 crystal.

Values from the calculation:
Total magnetic moment in μB/f.u.: 0.2
DFT total energy in eV/cell: -183.06
DOS(E_F) in states/eV/f.u.: 3.2
E_form (uncorrected) in eV/f.u.: -59.20
Space group: P2/m

Cell: 7.139 4.119 11.236 Å, 90.00 92.50 90.00°
Fractional coordinates of all 23 atoms:
Ca (0.000, 0.000, 0.000)
Er (0.000, 0.500, 0.000)
Er (0.252, 0.000, 0.714)
Er (0.500, 0.500, 0.000)
Er (0.748, 0.000, 0.286)
Zr (0.000, 0.500, 0.500)
Zr (0.237, 0.000, 0.281)
Zr (0.500, 0.500, 0.500)
Zr (0.763, 0.000, 0.719)
O (0.004, 0.000, 0.816)
O (0.036, 0.000, 0.404)
O (0.249, 0.500, 0.618)
O (0.251, 0.500, 0.374)
O (0.260, 0.500, 0.121)
O (0.390, 0.000, 0.888)
O (0.491, 0.000, 0.391)
O (0.509, 0.000, 0.609)
O (0.610, 0.000, 0.112)
O (0.740, 0.500, 0.879)
O (0.749, 0.500, 0.626)
O (0.751, 0.500, 0.382)
O (0.964, 0.000, 0.596)
O (0.996, 0.000, 0.184)


VASP calculation (PBE-GGA) on a relaxed LiMgTa crystal.

Values from the calculation:
Total magnetic moment in μB/f.u.: 0.0
DFT total energy in eV/cell: -29.29
DOS(E_F) in states/eV/f.u.: 1.6
Energy above the most stable polymorph in this dataset in meV per atom: 157.1
Space group: P-1
Formation energy from the elements in eV per atom: 0.238

Cell: 2.930 5.308 7.780 Å, 106.14 90.11 106.01°
Fractional coordinates of all 6 atoms:
Li (0.192, 0.387, 0.137)
Li (0.808, 0.613, 0.863)
Mg (0.474, 0.950, 0.199)
Mg (0.526, 0.050, 0.801)
Ta (0.143, 0.286, 0.532)
Ta (0.857, 0.714, 0.468)


VASP calculation (PBE-GGA) on a relaxed Tb4CeY7 crystal.

Values from the calculation:
Total magnetic moment in μB/f.u.: 1.4
DFT total energy in eV/cell: -66.22
DOS(E_F) in states/eV/f.u.: 24.6
Space group: C2/m
Formation energy from the elements in eV per atom: 0.290

Cell: 6.693 6.693 12.752 Å, 114.09 114.09 51.87°
Fractional coordinates of all 12 atoms:
Tb (0.134, 0.134, 0.275)
Tb (0.250, 0.250, 0.815)
Tb (0.750, 0.750, 0.185)
Tb (0.866, 0.866, 0.725)
Ce (0.500, 0.500, 0.500)
Y (0.000, 0.000, 0.500)
Y (0.135, 0.135, 0.003)
Y (0.294, 0.294, 0.577)
Y (0.440, 0.440, 0.172)
Y (0.560, 0.560, 0.828)
Y (0.706, 0.706, 0.423)
Y (0.865, 0.865, 0.997)


VASP calculation (PBE-GGA) on a relaxed BeCdMo2 crystal.

Values from the calculation:
Total magnetic moment in μB/f.u.: 0.0
DFT total energy in eV/cell: -24.85
DOS(E_F) in states/eV/f.u.: 2.5
Energy above the most stable polymorph in this dataset in meV per atom: 104.2
Space group: P4mm
Formation energy from the elements in eV per atom: 0.362

Cell: 2.705 2.705 8.368 Å, 90.00 90.00 90.00°
Fractional coordinates of all 4 atoms:
Be (0.000, 0.000, 0.000)
Cd (0.500, 0.500, 0.237)
Mo (0.000, 0.000, 0.523)
Mo (0.500, 0.500, 0.796)